(1)
Entry from Alexandria via LeMat-Bulk: a relaxed structure of Th4Co2Pd5 (PBE).

Calculated values
Raw total energy   -77.5 eV per formula unit
Calculated formation energy   -0.697 eV per atom
Fermi-level density of states   7.11 states/eV per cell

a b c (Å): 7.1051 3.7849 8.5139
angles (deg): 90.00 95.13 90.00
Closest atoms and distances in Å follow each position.
Fractional coordinates of all 11 atoms:
Th 0.2185 0.0000 0.3580  2 Co 2.79, 6 Pd 2.93-3.13
Th 0.2321 0.0000 0.9093  4 Co 2.90-2.98, 6 Pd 2.98-3.24
Th 0.7679 0.0000 0.0907  4 Co 2.90-2.98, 6 Pd 2.98-3.24
Th 0.7815 0.0000 0.6420  2 Co 2.79, 6 Pd 2.93-3.13
Co 0.0779 0.5000 0.1362  1 Co 2.48, 2 Pd 2.69-2.74
Co 0.9221 0.5000 0.8638  1 Co 2.48, 2 Pd 2.69-2.74
Pd 0.1539 0.5000 0.6305  1 Co 2.69, 2 Pd 2.79-2.97
Pd 0.4649 0.5000 0.1682  1 Co 2.74, 2 Pd 2.81-2.95, 2 Th 2.98
Pd 0.5000 0.5000 0.5000  4 Pd 2.79-2.81, 4 Th 2.93
Pd 0.5351 0.5000 0.8318  1 Co 2.74, 2 Pd 2.81-2.95, 2 Th 2.98
Pd 0.8461 0.5000 0.3695  1 Co 2.69, 2 Pd 2.79-2.97

(2)
Entry from Alexandria via LeMat-Bulk: a relaxed structure of ThCoPd (PBE).

Calculated values
Raw total energy   -20.9 eV per formula unit
Calculated formation energy   -0.392 eV per atom
Fermi-level density of states   1.69 states/eV per cell

a b c (Å): 4.2951 4.2951 3.7884
angles (deg): 90.00 90.00 120.00
Closest atoms and distances in Å follow each position.
Fractional coordinates of all 3 atoms:
Th 0.0000 0.0000 0.0000  6 Co 3.12, 6 Pd 3.12
Co 0.6667 0.3333 0.5000  3 Pd 2.48
Pd 0.3333 0.6667 0.5000  3 Co 2.48

(3)
Entry from Alexandria via LeMat-Bulk: a relaxed structure of ThCo2Pd (PBE).

Calculated values
Raw total energy   -27.9 eV per formula unit
Calculated formation energy   -0.258 eV per atom
Fermi-level density of states   8.70 states/eV per cell

a b c (Å): 4.3755 4.3755 12.9921
angles (deg): 90.00 90.00 120.00
Closest atoms and distances in Å follow each position.
Fractional coordinates of all 12 atoms:
Th 0.0000 0.0000 0.0000  2 Co 2.42
Th 0.3333 0.6667 0.6667  2 Co 2.42
Th 0.6667 0.3333 0.3333  2 Co 2.42
Co 0.0000 0.0000 0.1859  1 Th 2.42, 3 Pd 2.54, 3 Co 2.58
Co 0.0000 0.0000 0.8141  1 Th 2.42, 3 Pd 2.54, 3 Co 2.58
Co 0.3333 0.6667 0.4808  1 Th 2.42, 3 Pd 2.54, 3 Co 2.58
Co 0.3333 0.6667 0.8526  1 Th 2.42, 3 Pd 2.54, 3 Co 2.58
Co 0.6667 0.3333 0.1474  1 Th 2.42, 3 Pd 2.54, 3 Co 2.58
Co 0.6667 0.3333 0.5192  1 Th 2.42, 3 Pd 2.54, 3 Co 2.58
Pd 0.0000 0.0000 0.5000  6 Co 2.54
Pd 0.3333 0.6667 0.1667  6 Co 2.54
Pd 0.6667 0.3333 0.8333  6 Co 2.54